{"formula": "PaCrP3", "functional": "GGA-PBE", "state": "optimized geometry", "dft_energy_ev_per_cell": -154.51, "magmom_total_mub_per_fu": 0.12, "e_form_kj_per_mol_fu": -316, "sg": "P2_1/c (14)", "lattice_angstrom": [[-1.665, 4.303, 3.231], [-6.013, 0.502, -3.767], [-2.934, -5.443, 5.737]], "species": ["Pa", "Pa", "Pa", "Pa", "Cr", "Cr", "Cr", "Cr", "P", "P", "P", "P", "P", "P", "P", "P", "P", "P", "P", "P"], "frac_coords": [[0.763, 0.033, 0.671], [0.237, 0.967, 0.329], [0.263, 0.467, 0.829], [0.737, 0.533, 0.171], [0.248, 0.510, 0.438], [0.752, 0.490, 0.562], [0.748, 0.990, 0.062], [0.252, 0.010, 0.938], [0.059, 0.714, 0.611], [0.941, 0.286, 0.389], [0.559, 0.786, 0.889], [0.441, 0.214, 0.111], [0.553, 0.727, 0.475], [0.447, 0.273, 0.525], [0.053, 0.773, 0.025], [0.947, 0.227, 0.975], [0.237, 0.577, 0.177], [0.763, 0.423, 0.823], [0.737, 0.923, 0.323], [0.263, 0.077, 0.677]]}